LaHo2Br | PBE | optimized geometry

Values from the calculation:
- Space group: R-3m (166)
- E_form (uncorrected): -262.5 meV/atom
- Calculated volume: 30.41 Å³ per atom
- Total moment: 0.0002 μB/atom

Lattice parameters (Å, degrees): 11.7125 11.7125 11.7125 17.13 17.13 17.13
With the nearest neighbours (Å) after each atom.
Atoms (fractional coordinates):
La 0.0000 0.0000 0.0000  2 Ho 3.41, 6 La 3.49
Ho 0.0986 0.0986 0.0986  3 Br 3.10, 1 La 3.41
Ho 0.9014 0.9014 0.9014  3 Br 3.10, 1 La 3.41
Br 0.5000 0.5000 0.5000  6 Ho 3.10

Rb4AgSn4 | PBE | optimized geometry

Values from the calculation:
- Space group: I-42m (121)
- Calculated volume: 51.41 Å³ per atom
- Formation enthalpy at 0 K: 0.04 eV/atom
- Total moment: 0.0000 μB/atom

Lattice parameters (Å, degrees): 10.0086 10.0086 10.0086 136.88 136.88 62.63
With the nearest neighbours (Å) after each atom.
Atoms (fractional coordinates):
Rb 0.0349 0.6844 0.0000  1 Rb 3.65, 3 Sn 3.66-3.74
Rb 0.3156 0.3156 0.3505  1 Rb 3.65, 3 Sn 3.66-3.74
Rb 0.6844 0.0349 0.0000  1 Rb 3.65, 3 Sn 3.66-3.74
Rb 0.9651 0.9651 0.6495  1 Rb 3.65, 3 Sn 3.66-3.74
Ag 0.5000 0.5000 0.0000  4 Sn 2.81
Sn 0.2230 0.2230 0.7309  1 Sn 2.80, 1 Ag 2.81
Sn 0.4921 0.4921 0.2691  1 Sn 2.80, 1 Ag 2.81
Sn 0.5079 0.7770 0.0000  1 Sn 2.80, 1 Ag 2.81
Sn 0.7770 0.5079 0.0000  1 Sn 2.80, 1 Ag 2.81

YbCdPb | PBE | optimized geometry

Values from the calculation:
- Space group: P-62m (189)
- Calculated volume: 27.80 Å³ per atom
- Formation enthalpy at 0 K: -0.41 eV/atom
- Total moment: 0.0000 μB/atom

Lattice parameters (Å, degrees): 7.7941 7.7941 4.7561 90.00 90.00 120.00
With the nearest neighbours (Å) after each atom.
Atoms (fractional coordinates):
Yb 0.0000 0.4273 0.0000  5 Pb 3.32-3.33, 2 Cd 3.46
Yb 0.4273 0.0000 0.0000  5 Pb 3.32-3.33, 2 Cd 3.46
Yb 0.5727 0.5727 0.0000  5 Pb 3.32-3.33, 2 Cd 3.46
Cd 0.0000 0.7500 0.5000  4 Pb 2.98-3.07
Cd 0.2500 0.2500 0.5000  4 Pb 2.98-3.07
Cd 0.7500 0.0000 0.5000  4 Pb 2.98-3.07
Pb 0.0000 0.0000 0.0000  6 Cd 3.07, 3 Yb 3.33
Pb 0.3333 0.6667 0.5000  3 Cd 2.98, 6 Yb 3.32
Pb 0.6667 0.3333 0.5000  3 Cd 2.98, 6 Yb 3.32

HfRuAu2 | PBE | optimized geometry

Values from the calculation:
- Space group: Fm-3m (225)
- Calculated volume: 17.65 Å³ per atom
- Formation enthalpy at 0 K: -0.10 eV/atom
- Total moment: 0.0000 μB/atom

Lattice parameters (Å, degrees): 4.6391 4.6391 4.6391 60.00 60.00 60.00
With the nearest neighbours (Å) after each atom.
Atoms (fractional coordinates):
Hf 0.0000 0.0000 0.0000  8 Au 2.84
Ru 0.5000 0.5000 0.5000  8 Au 2.84
Au 0.2500 0.2500 0.2500  4 Hf 2.84, 4 Ru 2.84
Au 0.7500 0.7500 0.7500  4 Hf 2.84, 4 Ru 2.84

AcErPu | PBE | optimized geometry

Values from the calculation:
- Space group: P2_1/m (11)
- Calculated volume: 33.99 Å³ per atom
- Formation enthalpy at 0 K: 0.18 eV/atom
- Total moment: 2.1590 μB/atom

Lattice parameters (Å, degrees): 6.0612 5.6186 6.6376 90.00 115.55 90.00
With the nearest neighbours (Å) after each atom.
Atoms (fractional coordinates):
Ac 0.2195 0.2500 0.4989  5 Er 3.60-3.89, 4 Pu 3.61-3.74, 2 Ac 3.87
Ac 0.7805 0.7500 0.5011  5 Er 3.60-3.89, 4 Pu 3.61-3.74, 2 Ac 3.87
Er 0.1364 0.7500 0.1331  4 Pu 3.31-3.56, 2 Er 3.35, 3 Ac 3.60
Er 0.8636 0.2500 0.8669  4 Pu 3.31-3.56, 2 Er 3.35, 3 Ac 3.60
Pu 0.4833 0.2500 0.1051  2 Pu 3.18, 4 Er 3.31-3.56
Pu 0.5167 0.7500 0.8949  2 Pu 3.18, 4 Er 3.31-3.56

LiSiAs2 | PBE | optimized geometry

Values from the calculation:
- Space group: Pmmm (47)
- E_form (uncorrected): -116.9 meV/atom
- Calculated volume: 17.57 Å³ per atom
- Total moment: 0.0000 μB/atom

Lattice parameters (Å, degrees): 2.6625 3.6122 7.3091 90.00 90.00 90.00
With the nearest neighbours (Å) after each atom.
Atoms (fractional coordinates):
Li 0.0000 0.0000 0.0000  2 Li 2.66, 8 As 2.89
Si 0.5000 0.0000 0.5000  4 As 2.58, 2 Si 2.66
As 0.5000 0.5000 0.2482  2 Si 2.58, 2 As 2.66, 4 Li 2.89
As 0.5000 0.5000 0.7518  2 Si 2.58, 2 As 2.66, 4 Li 2.89

CsTa3Mn | PBE | optimized geometry

Values from the calculation:
- Space group: Pm-3m (221)
- Calculated volume: 22.45 Å³ per atom
- Formation enthalpy at 0 K: 1.47 eV/atom
- Total moment: 0.0000 μB/atom

Lattice parameters (Å, degrees): 4.8241 4.8241 4.8241 90.00 90.00 90.00
With the nearest neighbours (Å) after each atom.
Atoms (fractional coordinates):
Cs 0.0000 0.0000 0.0000  12 Ta 3.41
Ta 0.0000 0.5000 0.5000  2 Mn 2.41
Ta 0.5000 0.0000 0.5000  2 Mn 2.41
Ta 0.5000 0.5000 0.0000  2 Mn 2.41
Mn 0.5000 0.5000 0.5000  6 Ta 2.41

YSiF2 | PBE | optimized geometry

Values from the calculation:
- Space group: R-3m (166)
- E_form (uncorrected): -1751.9 meV/atom
- Calculated volume: 16.58 Å³ per atom
- Total moment: 0.0000 μB/atom

Lattice parameters (Å, degrees): 7.9802 7.9802 7.9802 22.69 22.69 22.69
With the nearest neighbours (Å) after each atom.
Atoms (fractional coordinates):
Y 0.0000 0.0000 0.0000  6 F 2.44
Si 0.5000 0.5000 0.5000  2 F 2.25
F 0.4034 0.4034 0.4034  1 Si 2.25, 3 Y 2.44
F 0.5966 0.5966 0.5966  1 Si 2.25, 3 Y 2.44